# 1
A geometry-optimized TcPBr2 structure. Source: the Alexandria database, functional PBE.

a b c (Å): 8.1659 8.1659 8.1659
angles (deg): 158.20 151.94 35.81
With the nearest neighbours (Å) after each atom.
Atoms (fractional coordinates):
Br 0.3925 0.3925 0.0000  2 Tc 2.70, 2 P 2.97
Br 0.1075 0.1075 0.0000  2 Tc 2.70, 2 P 2.97
Tc 0.2500 0.7500 0.5000  4 P 2.51, 4 Br 2.70
P 0.7500 0.2500 0.5000  4 Tc 2.51

Energy relative to the elements, uncorrected in meV/atom: 173
DOS at the Fermi energy in states/eV per atom: 0.485
Theoretical density in g/cm3: 5.047
Symmetry: Immm
Energy above the lowest structure with this stoichiometry in eV/atom: 0.348



# 2
A geometry-optimized MnAg2Au structure. Source: the Alexandria database, functional PBE.

a b c (Å): 5.0327 5.0327 2.9254
angles (deg): 90.00 90.00 110.74
With the nearest neighbours (Å) after each atom.
Atoms (fractional coordinates):
Ag 0.0000 0.0000 0.0000  4 Ag 2.86-2.93, 4 Au 2.91, 4 Mn 2.91
Ag 0.5000 0.5000 0.0000  4 Ag 2.86-2.93, 4 Mn 2.91, 4 Au 2.91
Au 0.5000 0.0000 0.5000  2 Mn 2.86, 8 Ag 2.91, 2 Au 2.93
Mn 0.0000 0.5000 0.5000  2 Au 2.86, 8 Ag 2.91, 2 Mn 2.93

DOS at the Fermi energy in states/eV per atom: 0.495
E_form in eV per atom: 0.15
Theoretical density in g/cm3: 11.207
Symmetry: Cmmm



# 3
A geometry-optimized Ac2YSn3Pt4 structure. Source: the Alexandria database, functional PBE.

a b c (Å): 4.7133 4.7133 11.1147
angles (deg): 90.00 90.00 90.00
With the nearest neighbours (Å) after each atom.
Atoms (fractional coordinates):
Pt 0.5000 0.0000 0.6415  3 Sn 2.64-2.83, 2 Y 2.83
Pt 0.0000 0.0000 0.0000  4 Sn 2.71
Pt 0.5000 0.5000 0.0000  4 Sn 2.71
Pt 0.0000 0.5000 0.3585  3 Sn 2.64-2.83, 2 Y 2.83
Ac 0.0000 0.5000 0.7722  8 Pt 3.46-3.64, 7 Sn 3.54-3.87, 2 Y 3.84
Ac 0.5000 0.0000 0.2278  8 Pt 3.46-3.64, 7 Sn 3.54-3.87, 2 Y 3.84
Sn 0.5000 0.0000 0.8793  5 Pt 2.64-2.71
Sn 0.0000 0.0000 0.5000  4 Pt 2.83
Sn 0.0000 0.5000 0.1207  5 Pt 2.64-2.71
Y 0.5000 0.5000 0.5000  4 Pt 2.83

DOS at the Fermi energy in states/eV per atom: 0.651
E_form in eV per atom: -0.96
Theoretical density in g/cm3: 11.294
Symmetry: P-4m2



# 4
A geometry-optimized La2InGaCo structure. Source: the Alexandria database, functional PBE.

a b c (Å): 5.2805 5.2805 4.6919
angles (deg): 90.00 90.00 90.00
With the nearest neighbours (Å) after each atom.
Atoms (fractional coordinates):
Co 0.0000 0.0000 0.0000  2 Ga 2.35
In 0.5000 0.5000 0.5000  8 La 3.53, 4 Ga 3.73
La 0.5000 0.0000 0.0000  2 Co 2.64
La 0.0000 0.5000 0.0000  2 Co 2.64
Ga 0.0000 0.0000 0.5000  2 Co 2.35

DOS at the Fermi energy in states/eV per atom: 0.867
E_form in eV per atom: -0.41
Theoretical density in g/cm3: 6.616
Symmetry: P4/mmm
Energy above the lowest structure with this stoichiometry in eV/atom: 0.000



| no. | total magnetic moment (Bohr magnetons per cell) | final energy (eV/atom) |
| --- | --- | --- |
| 1 | 0.00 | -4.61 |
| 2 | 4.20 | -4.39 |
| 3 | 0.00 | -6.05 |
| 4 | 0.00 | -4.95 |